This record from Alexandria describes a relaxed Sc8Ge3Te4P crystal. The functional is PBE-GGA.

a b c (Å): 7.9805 8.1199 7.9807
angles (deg): 119.44 120.00 90.00
Fractional coordinates of all 16 atoms:
Sc: 0.2368 0.7142 0.9774
Sc: 0.2368 0.7142 0.4737
Sc: 0.2603 0.2809 0.5205
Sc: 0.7406 0.7142 0.9774
Sc: 0.2594 0.2858 0.0226
Sc: 0.7397 0.7191 0.4795
Sc: 0.7632 0.2858 0.5263
Sc: 0.7632 0.2858 0.0226
Ge: 0.5000 0.5000 0.0000
Ge: 0.5000 0.5000 0.5000
Ge: 0.0000 0.5000 0.5000
Te: 0.5000 0.0000 0.0000
Te: 0.5000 0.0000 0.5000
Te: 0.0000 0.0000 0.0000
Te: 0.0000 0.0000 0.5000
P: 0.0000 0.5000 0.0000

- Total moment: 0.0 μB per formula unit
- DOS at the Fermi energy: 3.582 states/eV per cell
- E_tot: -6.276 eV per atom
- Crystal system: trigonal